Record 1
First-principles (PBE) data for a relaxed FeHCl4 crystal, as listed in Alexandria.

```
12
Lattice="2.8932 2.3976 0.0000 1.4741 13.6513 0.0000 0.0000 0.0000 10.6201" Properties=species:S:1:pos:R:3 pbc="T T T"
Fe 1.4926 2.7437 7.9651
Fe 2.8746 13.3052 2.6550
H 1.4353 7.7218 7.9651
H 2.9319 8.3272 2.6550
Cl 3.0398 10.0539 7.9651
Cl 1.3274 5.9950 2.6550
Cl 2.4094 14.1221 7.9651
Cl 1.9578 1.9268 2.6550
Cl 3.6366 12.3915 0.8750
Cl 0.7306 3.6575 6.1850
Cl 3.6366 12.3915 4.4350
Cl 0.7306 3.6575 9.7451
```

Calculated values
calculated density: 1.728 g/cm3

Record 2
First-principles (PBE) data for a relaxed FeHCl2 crystal, as listed in Alexandria.

```
8
Lattice="-0.6413 4.8001 0.7412 -1.9266 -0.9377 4.4058 3.0657 2.2094 4.5348" Properties=species:S:1:pos:R:3 pbc="T T T"
H -1.2839 1.9312 2.5735
H -0.0725 1.6015 5.7570
Fe 0.0000 0.0000 0.0000
Fe 0.5702 4.4704 3.9247
Cl 0.1395 3.3248 2.1306
Cl -0.5326 0.6767 3.9970
Cl 1.2920 3.0839 5.4325
Cl 0.0966 5.0582 7.8034
```

Calculated values
relative energy among the computed polymorphs: 398 meV per atom
calculated density: 3.699 g/cm3

Record 3
First-principles (PBE) data for a relaxed KFeH2Cl8 crystal, as listed in Alexandria.

```
12
Lattice="6.6303 1.1315 -0.1668 1.2700 6.4032 -1.2021 -0.0079 -1.5131 8.0605" Properties=species:S:1:pos:R:3 pbc="T T T"
K -0.0040 -0.7565 4.0303
Fe 0.0000 0.0000 0.0000
H 3.2042 2.7123 4.9721
H 4.6881 3.3094 1.7196
Cl 1.7654 4.4735 -0.2463
Cl 6.7161 4.9348 5.1204
Cl 4.7595 1.2855 1.1407
Cl 6.1270 1.5481 6.9379
Cl 1.1763 1.0868 1.5712
Cl 3.1328 4.7361 5.5509
Cl 4.6366 4.5401 2.2090
Cl 3.2557 1.4816 4.4827
```

Calculated values
calculated density: 1.982 g/cm3

Record 4
First-principles (PBE) data for a relaxed KFeH2Cl crystal, as listed in Alexandria.

```
5
Lattice="5.4233 0.0000 0.0000 0.0000 5.4233 0.0000 0.0000 0.0000 4.1825" Properties=species:S:1:pos:R:3 pbc="T T T"
H 0.0000 2.7116 0.0000
H 2.7116 0.0000 0.0000
K 2.7116 2.7116 2.0912
Fe 0.0000 0.0000 2.0912
Cl 0.0000 0.0000 0.0000
```

Calculated values
calculated density: 1.787 g/cm3

Record 5
First-principles (PBE) data for a relaxed K2FeHCl crystal, as listed in Alexandria.

```
5
Lattice="6.1032 0.0000 0.0000 0.0000 4.2072 0.0000 0.0000 0.0000 6.1032" Properties=species:S:1:pos:R:3 pbc="T T T"
H 3.0516 2.1036 3.0516
K 0.0000 0.0000 3.0516
K 3.0516 0.0000 0.0000
Fe 0.0000 2.1036 0.0000
Cl 0.0000 0.0000 0.0000
```

Calculated values
calculated density: 1.807 g/cm3

| no. | uncorrected energy (eV per atom) |
| --- | --- |
| 1 | -3.839 |
| 2 | -3.551 |
| 3 | -3.292 |
| 4 | -2.873 |
| 5 | -3.055 |